Record 1
Here is a relaxed Na4AlTlCd2 crystal from OQMD. Energies are from PBE.

```
Na4AlTlCd2
1.0
5.154 0.000 0.000
0.000 5.154 0.000
0.000 0.000 7.309
Na Tl Cd Al
4 1 2 1
Direct
0.500 0.000 0.755 Na
0.000 0.500 0.245 Na
0.000 0.000 0.000 Na
0.500 0.500 0.500 Na
0.000 0.000 0.500 Tl
0.000 0.500 0.771 Cd
0.500 0.000 0.229 Cd
0.500 0.500 0.000 Al
```

Output
The crystal system is tetragonal.

Record 2
Here is a relaxed NbAlCd2 crystal from OQMD. Energies are from PBE.

```
NbAlCd2
1.0
4.044 -2.502 0.051
-0.138 -4.747 -0.230
1.463 -2.234 -3.934
Cd Nb Al
2 1 1
Direct
0.750 0.750 0.750 Cd
0.000 0.000 0.000 Cd
0.250 0.250 0.250 Nb
0.500 0.500 0.500 Al
```

Output
The value obtained for the total moment is 1.71 Bohr magnetons per cell. The crystal system is cubic.

Record 3
Here is a relaxed NbAl2Cd crystal from OQMD. Energies are from PBE.

```
NbAl2Cd
1.0
0.000 3.300 3.300
3.300 0.000 3.300
3.300 3.300 0.000
Al Nb Cd
2 1 1
Direct
0.500 0.500 0.500 Al
0.250 0.250 0.250 Al
0.000 0.000 0.000 Nb
0.750 0.750 0.750 Cd
```

Output
The value obtained for the total moment is 1.15 Bohr magnetons per cell. The crystal system is cubic.

Record 4
Here is a relaxed Nb2AlCd crystal from OQMD. Energies are from PBE.

```
Nb2AlCd
1.0
-0.298 -3.565 -3.030
-3.898 -0.603 -2.534
0.051 0.834 -4.613
Nb Cd Al
2 1 1
Direct
0.000 0.000 0.000 Nb
0.750 0.750 0.750 Nb
0.250 0.250 0.250 Cd
0.500 0.500 0.500 Al
```

Output
The value obtained for the total moment is 0.04 Bohr magnetons per cell. The crystal system is cubic.

Record 5
Here is a relaxed AlCd2Ni crystal from OQMD. Energies are from PBE.

```
AlCd2Ni
1.0
-3.396 -2.655 1.412
-2.964 1.547 3.066
-4.266 0.925 -1.235
Cd Ni Al
2 1 1
Direct
0.000 0.000 0.000 Cd
0.750 0.750 0.750 Cd
0.250 0.250 0.250 Ni
0.500 0.500 0.500 Al
```

Output
The value obtained for the total moment is 0.01 Bohr magnetons per cell. The crystal system is cubic.

Record 6
Here is a relaxed Al2CdNi crystal from OQMD. Energies are from PBE.

```
Al2CdNi
1.0
3.036 -3.252 -0.295
2.369 -1.170 3.591
-0.740 -3.927 1.977
Ni Cd Al
1 1 2
Direct
0.750 0.750 0.750 Ni
0.500 0.500 0.500 Cd
0.250 0.250 0.250 Al
0.000 0.000 0.000 Al
```

Output
The value obtained for the total moment is 0.00 Bohr magnetons per cell. The crystal system is cubic.

Record 7
Here is a relaxed Pr2AlCd3Ni2 crystal from OQMD. Energies are from PBE.

```
Pr2AlCd3Ni2
1.0
4.975 -2.132 0.000
4.975 2.132 0.000
-0.123 0.000 7.885
Cd Ni Al Pr
3 2 1 2
Direct
0.151 0.151 0.450 Cd
0.139 0.139 0.054 Cd
0.852 0.852 0.553 Cd
0.287 0.287 0.774 Ni
0.732 0.732 0.234 Ni
0.843 0.843 0.944 Al
0.560 0.560 0.750 Pr
0.436 0.436 0.240 Pr
```

Output
The value obtained for the total moment is 0.01 Bohr magnetons per cell. The crystal system is monoclinic.

Record 8
Here is a relaxed ScAlCdNi crystal from OQMD. Energies are from PBE.

```
ScAlCdNi
1.0
0.000 3.219 3.219
3.219 0.000 3.219
3.219 3.219 0.000
Ni Sc Cd Al
1 1 1 1
Direct
0.750 0.750 0.750 Ni
0.250 0.250 0.250 Sc
0.500 0.500 0.500 Cd
0.000 0.000 0.000 Al
```

Output
The value obtained for the total moment is 0.02 Bohr magnetons per cell. The crystal system is cubic.

Record 9
Here is a relaxed TaAlCdNi crystal from OQMD. Energies are from PBE.

```
TaAlCdNi
1.0
0.000 3.179 3.179
3.179 0.000 3.179
3.179 3.179 0.000
Cd Ni Ta Al
1 1 1 1
Direct
0.500 0.500 0.500 Cd
0.750 0.750 0.750 Ni
0.250 0.250 0.250 Ta
0.000 0.000 0.000 Al
```

Output
The value obtained for the total moment is 0.00 Bohr magnetons per cell. The crystal system is cubic.

Record 10
Here is a relaxed AlCdTcNi crystal from OQMD. Energies are from PBE.

```
AlCdTcNi
1.0
-1.415 -3.995 1.089
0.519 -1.465 4.090
-3.475 -0.451 2.620
Ni Tc Cd Al
1 1 1 1
Direct
0.750 0.750 0.750 Ni
0.250 0.250 0.250 Tc
0.500 0.500 0.500 Cd
0.000 0.000 0.000 Al
```

Output
The value obtained for the total moment is 0.38 Bohr magnetons per cell. The crystal system is cubic.

Record 11
Here is a relaxed AlCd2Os crystal from OQMD. Energies are from PBE.

```
AlCd2Os
1.0
0.000 3.240 3.240
3.240 0.000 3.240
3.240 3.240 0.000
Cd Al Os
2 1 1
Direct
0.000 0.000 0.000 Cd
0.750 0.750 0.750 Cd
0.500 0.500 0.500 Al
0.250 0.250 0.250 Os
```

Output
The value obtained for the total moment is 0.00 Bohr magnetons per cell. The crystal system is cubic.

Record 12
Here is a relaxed Al2CdOs crystal from OQMD. Energies are from PBE.

```
Al2CdOs
1.0
4.152 -0.359 1.675
2.139 3.652 1.503
0.700 0.540 4.403
Al Cd Os
2 1 1
Direct
0.500 0.500 0.500 Al
0.250 0.250 0.250 Al
0.750 0.750 0.750 Cd
0.000 0.000 0.000 Os
```

Output
The value obtained for the total moment is 0.01 Bohr magnetons per cell. The crystal system is cubic.

no.,E (eV/atom)
1,-1.694
2,-3.595
3,-4.277
4,-5.954
5,-2.692
6,-3.393
7,-3.761
8,-4.376
9,-5.244
10,-5.051
11,-3.858
12,-4.598